(1)
# ZrScFeAu, relaxed, DFT GGA-PBE
# Spin magnetization: 0.6 μB/cell
# D(E_F): 0.67 states/eV/atom
# Crystal system: cubic
# V: 18.2 Å³ per atom
# SG: No. 216
# Energy of formation from the pure elements: -0.318 eV/atom
data_ZrScFeAu
_symmetry_space_group_name_H-M 'P 1'
_symmetry_Int_Tables_number 1
_symmetry_space_group_name_Hall 'P 1'
_cell_length_a 4.685
_cell_length_b 4.685
_cell_length_c 4.685
_cell_angle_alpha 60.00
_cell_angle_beta 60.00
_cell_angle_gamma 60.00
loop_
_atom_site_label
_atom_site_type_symbol
_atom_site_fract_x
_atom_site_fract_y
_atom_site_fract_z
_atom_site_occupancy
Zr1 Zr 0.000 0.000 0.000 1
Sc1 Sc 0.500 0.500 0.500 1
Fe1 Fe 0.250 0.250 0.250 1
Au1 Au 0.750 0.750 0.750 1


(2)
# FeAuSe2, relaxed, DFT GGA-PBE
# Spin magnetization: 3.4 μB/cell
# E_tot: -4.2320 eV per atom
# D(E_F): 1.07 states/eV/atom
# Crystal system: tetragonal
# V: 18.1 Å³ per atom
# SG: No. 123
data_FeAuSe2
_symmetry_space_group_name_H-M 'P 1'
_symmetry_Int_Tables_number 1
_symmetry_space_group_name_Hall 'P 1'
_cell_length_a 4.565
_cell_length_b 4.565
_cell_length_c 3.479
_cell_angle_alpha 90.00
_cell_angle_beta 90.00
_cell_angle_gamma 90.00
loop_
_atom_site_label
_atom_site_type_symbol
_atom_site_fract_x
_atom_site_fract_y
_atom_site_fract_z
_atom_site_occupancy
Fe1 Fe 0.000 0.000 0.000 1
Au1 Au 0.500 0.500 0.000 1
Se1 Se 0.000 0.500 0.500 1
Se2 Se 0.500 0.000 0.500 1


(3)
# FeAuSe2, relaxed, DFT GGA-PBE
# Spin magnetization: 2.8 μB/cell
# E_tot: -4.5270 eV per atom
# D(E_F): 0.64 states/eV/atom
# Crystal system: orthorhombic
# V: 18.9 Å³ per atom
# SG: No. 44
data_FeAuSe2
_symmetry_space_group_name_H-M 'P 1'
_symmetry_Int_Tables_number 1
_symmetry_space_group_name_Hall 'P 1'
_cell_length_a 6.861
_cell_length_b 6.861
_cell_length_c 6.861
_cell_angle_alpha 153.48
_cell_angle_beta 148.27
_cell_angle_gamma 41.81
loop_
_atom_site_label
_atom_site_type_symbol
_atom_site_fract_x
_atom_site_fract_y
_atom_site_fract_z
_atom_site_occupancy
Fe1 Fe 0.000 0.000 0.000 1
Au1 Au 0.772 0.272 0.500 1
Se1 Se 0.145 0.645 0.500 1
Se2 Se 0.429 0.429 0.000 1


(4)
# FeAuSe3, relaxed, DFT GGA-PBE
# Spin magnetization: 0.0 μB/cell
# D(E_F): 1.55 states/eV/atom
# Crystal system: cubic
# Polymorph energy (0 for the lowest one): 0.00 eV/f.u.
# V: 20.5 Å³ per atom
# SG: No. 221
data_FeAuSe3
_symmetry_space_group_name_H-M 'P 1'
_symmetry_Int_Tables_number 1
_symmetry_space_group_name_Hall 'P 1'
_cell_length_a 4.679
_cell_length_b 4.679
_cell_length_c 4.679
_cell_angle_alpha 90.00
_cell_angle_beta 90.00
_cell_angle_gamma 90.00
loop_
_atom_site_label
_atom_site_type_symbol
_atom_site_fract_x
_atom_site_fract_y
_atom_site_fract_z
_atom_site_occupancy
Fe1 Fe 0.000 0.000 0.000 1
Au1 Au 0.500 0.500 0.500 1
Se1 Se 0.000 0.000 0.500 1
Se2 Se 0.000 0.500 0.000 1
Se3 Se 0.500 0.000 0.000 1


(5)
# FeAuSe2, relaxed, DFT GGA-PBE
# Spin magnetization: 3.4 μB/cell
# E_tot: -4.0937 eV per atom
# D(E_F): 1.08 states/eV/atom
# Crystal system: cubic
# V: 18.4 Å³ per atom
# SG: No. 216
data_FeAuSe2
_symmetry_space_group_name_H-M 'P 1'
_symmetry_Int_Tables_number 1
_symmetry_space_group_name_Hall 'P 1'
_cell_length_a 4.706
_cell_length_b 4.706
_cell_length_c 4.706
_cell_angle_alpha 60.00
_cell_angle_beta 60.00
_cell_angle_gamma 60.00
loop_
_atom_site_label
_atom_site_type_symbol
_atom_site_fract_x
_atom_site_fract_y
_atom_site_fract_z
_atom_site_occupancy
Fe1 Fe 0.000 0.000 0.000 1
Au1 Au 0.250 0.250 0.250 1
Se1 Se 0.500 0.500 0.500 1
Se2 Se 0.750 0.750 0.750 1


(6)
# FeAuSe2, relaxed, DFT GGA-PBE
# Spin magnetization: 2.7 μB/cell
# E_tot: -4.6884 eV per atom
# D(E_F): 0.50 states/eV/atom
# Crystal system: monoclinic
# V: 24.3 Å³ per atom
# SG: No. 8
data_FeAuSe2
_symmetry_space_group_name_H-M 'P 1'
_symmetry_Int_Tables_number 1
_symmetry_space_group_name_Hall 'P 1'
_cell_length_a 5.322
_cell_length_b 5.322
_cell_length_c 6.282
_cell_angle_alpha 98.64
_cell_angle_beta 98.64
_cell_angle_gamma 33.65
loop_
_atom_site_label
_atom_site_type_symbol
_atom_site_fract_x
_atom_site_fract_y
_atom_site_fract_z
_atom_site_occupancy
Fe1 Fe 0.000 0.000 0.000 1
Au1 Au 0.726 0.726 0.983 1
Se1 Se 0.378 0.378 0.749 1
Se2 Se 0.571 0.571 0.280 1


(7)
# FeAuSe, relaxed, DFT GGA-PBE
# Spin magnetization: 2.4 μB/cell
# D(E_F): 0.91 states/eV/atom
# Crystal system: tetragonal
# Polymorph energy (0 for the lowest one): 0.19 eV/f.u.
# V: 17.7 Å³ per atom
# SG: No. 107
data_FeAuSe
_symmetry_space_group_name_H-M 'P 1'
_symmetry_Int_Tables_number 1
_symmetry_space_group_name_Hall 'P 1'
_cell_length_a 6.558
_cell_length_b 6.558
_cell_length_c 6.558
_cell_angle_alpha 154.30
_cell_angle_beta 154.30
_cell_angle_gamma 36.66
loop_
_atom_site_label
_atom_site_type_symbol
_atom_site_fract_x
_atom_site_fract_y
_atom_site_fract_z
_atom_site_occupancy
Fe1 Fe 0.000 0.000 0.000 1
Au1 Au 0.651 0.651 0.000 1
Se1 Se 0.385 0.385 0.000 1


(8)
# FeAuSe2, relaxed, DFT GGA-PBE
# Spin magnetization: 3.5 μB/cell
# E_tot: -4.3960 eV per atom
# D(E_F): 1.27 states/eV/atom
# Crystal system: monoclinic
# V: 20.2 Å³ per atom
# SG: No. 12
data_FeAuSe2
_symmetry_space_group_name_H-M 'P 1'
_symmetry_Int_Tables_number 1
_symmetry_space_group_name_Hall 'P 1'
_cell_length_a 4.723
_cell_length_b 4.723
_cell_length_c 4.676
_cell_angle_alpha 111.66
_cell_angle_beta 111.66
_cell_angle_gamma 104.43
loop_
_atom_site_label
_atom_site_type_symbol
_atom_site_fract_x
_atom_site_fract_y
_atom_site_fract_z
_atom_site_occupancy
Fe1 Fe 0.000 0.000 0.000 1
Au1 Au 0.500 0.500 0.000 1
Se1 Se 0.000 0.500 0.500 1
Se2 Se 0.500 0.000 0.500 1


(9)
# FeAuSe, relaxed, DFT GGA-PBE
# Spin magnetization: 3.2 μB/cell
# D(E_F): 1.25 states/eV/atom
# Crystal system: cubic
# Polymorph energy (0 for the lowest one): 0.35 eV/f.u.
# V: 18.9 Å³ per atom
# SG: No. 216
data_FeAuSe
_symmetry_space_group_name_H-M 'P 1'
_symmetry_Int_Tables_number 1
_symmetry_space_group_name_Hall 'P 1'
_cell_length_a 4.311
_cell_length_b 4.311
_cell_length_c 4.311
_cell_angle_alpha 60.00
_cell_angle_beta 60.00
_cell_angle_gamma 60.00
loop_
_atom_site_label
_atom_site_type_symbol
_atom_site_fract_x
_atom_site_fract_y
_atom_site_fract_z
_atom_site_occupancy
Fe1 Fe 0.000 0.000 0.000 1
Au1 Au 0.750 0.750 0.750 1
Se1 Se 0.250 0.250 0.250 1


(10)
# FeAuSe2, relaxed, DFT GGA-PBE
# Spin magnetization: 3.6 μB/cell
# E_tot: -4.5498 eV per atom
# D(E_F): 1.26 states/eV/atom
# Crystal system: monoclinic
# V: 19.5 Å³ per atom
# SG: No. 10
data_FeAuSe2
_symmetry_space_group_name_H-M 'P 1'
_symmetry_Int_Tables_number 1
_symmetry_space_group_name_Hall 'P 1'
_cell_length_a 3.808
_cell_length_b 3.803
_cell_length_c 5.392
_cell_angle_alpha 90.00
_cell_angle_beta 90.14
_cell_angle_gamma 90.00
loop_
_atom_site_label
_atom_site_type_symbol
_atom_site_fract_x
_atom_site_fract_y
_atom_site_fract_z
_atom_site_occupancy
Fe1 Fe 0.000 0.000 0.000 1
Au1 Au 0.500 0.500 0.500 1
Se1 Se 0.000 0.000 0.500 1
Se2 Se 0.500 0.500 0.000 1


(11)
# FeAuSe2, relaxed, DFT GGA-PBE
# Spin magnetization: 0.0 μB/cell
# E_tot: -4.6232 eV per atom
# D(E_F): 1.35 states/eV/atom
# Crystal system: tetragonal
# V: 22.0 Å³ per atom
# SG: No. 122
data_FeAuSe2
_symmetry_space_group_name_H-M 'P 1'
_symmetry_Int_Tables_number 1
_symmetry_space_group_name_Hall 'P 1'
_cell_length_a 6.724
_cell_length_b 6.724
_cell_length_c 6.724
_cell_angle_alpha 129.61
_cell_angle_beta 129.61
_cell_angle_gamma 74.03
loop_
_atom_site_label
_atom_site_type_symbol
_atom_site_fract_x
_atom_site_fract_y
_atom_site_fract_z
_atom_site_occupancy
Fe1 Fe 0.000 0.000 0.000 1
Fe2 Fe 0.750 0.250 0.500 1
Au1 Au 0.250 0.750 0.500 1
Au2 Au 0.500 0.500 0.000 1
Se1 Se 0.072 0.625 0.947 1
Se2 Se 0.375 0.322 0.447 1
Se3 Se 0.678 0.125 0.053 1
Se4 Se 0.875 0.928 0.553 1


(12)
# FeAuSe2, relaxed, DFT GGA-PBE
# Spin magnetization: 1.7 μB/cell
# E_tot: -4.6413 eV per atom
# D(E_F): 0.67 states/eV/atom
# Crystal system: trigonal
# V: 18.1 Å³ per atom
# SG: No. 166
data_FeAuSe2
_symmetry_space_group_name_H-M 'P 1'
_symmetry_Int_Tables_number 1
_symmetry_space_group_name_Hall 'P 1'
_cell_length_a 7.914
_cell_length_b 7.914
_cell_length_c 7.914
_cell_angle_alpha 24.06
_cell_angle_beta 24.06
_cell_angle_gamma 24.06
loop_
_atom_site_label
_atom_site_type_symbol
_atom_site_fract_x
_atom_site_fract_y
_atom_site_fract_z
_atom_site_occupancy
Fe1 Fe 0.000 0.000 0.000 1
Au1 Au 0.500 0.500 0.500 1
Se1 Se 0.268 0.268 0.268 1
Se2 Se 0.732 0.732 0.732 1


(13)
# FeAuSe2, relaxed, DFT GGA-PBE
# Spin magnetization: 3.9 μB/cell
# E_tot: -4.6437 eV per atom
# D(E_F): 0.72 states/eV/atom
# Crystal system: monoclinic
# V: 25.4 Å³ per atom
# SG: No. 6
data_FeAuSe2
_symmetry_space_group_name_H-M 'P 1'
_symmetry_Int_Tables_number 1
_symmetry_space_group_name_Hall 'P 1'
_cell_length_a 4.342
_cell_length_b 3.856
_cell_length_c 6.068
_cell_angle_alpha 90.00
_cell_angle_beta 92.13
_cell_angle_gamma 90.00
loop_
_atom_site_label
_atom_site_type_symbol
_atom_site_fract_x
_atom_site_fract_y
_atom_site_fract_z
_atom_site_occupancy
Fe1 Fe 0.000 0.000 0.000 1
Au1 Au 0.581 0.500 0.076 1
Se1 Se 0.368 0.000 0.300 1
Se2 Se 0.960 0.500 0.758 1


(14)
# FeAuSe, relaxed, DFT GGA-PBE
# Spin magnetization: 1.7 μB/cell
# D(E_F): 0.95 states/eV/atom
# Crystal system: trigonal
# Polymorph energy (0 for the lowest one): 0.00 eV/f.u.
# V: 17.6 Å³ per atom
# SG: No. 156
data_FeAuSe
_symmetry_space_group_name_H-M 'P 1'
_symmetry_Int_Tables_number 1
_symmetry_space_group_name_Hall 'P 1'
_cell_length_a 3.071
_cell_length_b 3.071
_cell_length_c 6.451
_cell_angle_alpha 90.00
_cell_angle_beta 90.00
_cell_angle_gamma 120.00
loop_
_atom_site_label
_atom_site_type_symbol
_atom_site_fract_x
_atom_site_fract_y
_atom_site_fract_z
_atom_site_occupancy
Fe1 Fe 0.000 0.000 0.000 1
Au1 Au 0.333 0.667 0.682 1
Se1 Se 0.667 0.333 0.234 1


(15)
# FeAuSe2, relaxed, DFT GGA-PBE
# Spin magnetization: 2.5 μB/cell
# E_tot: -4.6050 eV per atom
# D(E_F): 0.56 states/eV/atom
# Crystal system: monoclinic
# V: 24.2 Å³ per atom
# SG: No. 10
data_FeAuSe2
_symmetry_space_group_name_H-M 'P 1'
_symmetry_Int_Tables_number 1
_symmetry_space_group_name_Hall 'P 1'
_cell_length_a 5.473
_cell_length_b 3.038
_cell_length_c 5.849
_cell_angle_alpha 90.00
_cell_angle_beta 94.68
_cell_angle_gamma 90.00
loop_
_atom_site_label
_atom_site_type_symbol
_atom_site_fract_x
_atom_site_fract_y
_atom_site_fract_z
_atom_site_occupancy
Fe1 Fe 0.000 0.000 0.000 1
Au1 Au 0.500 0.000 0.000 1
Se1 Se 0.188 0.500 0.269 1
Se2 Se 0.812 0.500 0.731 1


(16)
# FeAuSe2, relaxed, DFT GGA-PBE
# Spin magnetization: 3.7 μB/cell
# E_tot: -4.3464 eV per atom
# D(E_F): 1.37 states/eV/atom
# Crystal system: tetragonal
# V: 23.5 Å³ per atom
# SG: No. 119
data_FeAuSe2
_symmetry_space_group_name_H-M 'P 1'
_symmetry_Int_Tables_number 1
_symmetry_space_group_name_Hall 'P 1'
_cell_length_a 7.626
_cell_length_b 7.626
_cell_length_c 7.626
_cell_angle_alpha 152.55
_cell_angle_beta 152.55
_cell_angle_gamma 39.21
loop_
_atom_site_label
_atom_site_type_symbol
_atom_site_fract_x
_atom_site_fract_y
_atom_site_fract_z
_atom_site_occupancy
Fe1 Fe 0.000 0.000 0.000 1
Au1 Au 0.750 0.250 0.500 1
Se1 Se 0.250 0.750 0.500 1
Se2 Se 0.500 0.500 0.000 1


(17)
# FeAuSe2, relaxed, DFT GGA-PBE
# Spin magnetization: 1.8 μB/cell
# E_tot: -4.5278 eV per atom
# D(E_F): 0.74 states/eV/atom
# Crystal system: tetragonal
# V: 19.0 Å³ per atom
# SG: No. 99
data_FeAuSe2
_symmetry_space_group_name_H-M 'P 1'
_symmetry_Int_Tables_number 1
_symmetry_space_group_name_Hall 'P 1'
_cell_length_a 2.897
_cell_length_b 2.897
_cell_length_c 9.058
_cell_angle_alpha 90.00
_cell_angle_beta 90.00
_cell_angle_gamma 90.00
loop_
_atom_site_label
_atom_site_type_symbol
_atom_site_fract_x
_atom_site_fract_y
_atom_site_fract_z
_atom_site_occupancy
Fe1 Fe 0.000 0.000 0.000 1
Au1 Au 0.500 0.500 0.786 1
Se1 Se 0.000 0.000 0.530 1
Se2 Se 0.500 0.500 0.147 1


(18)
# FeAuSe2, relaxed, DFT GGA-PBE
# Spin magnetization: 2.6 μB/cell
# E_tot: -4.6862 eV per atom
# D(E_F): 0.71 states/eV/atom
# Crystal system: orthorhombic
# V: 22.4 Å³ per atom
# SG: No. 71
data_FeAuSe2
_symmetry_space_group_name_H-M 'P 1'
_symmetry_Int_Tables_number 1
_symmetry_space_group_name_Hall 'P 1'
_cell_length_a 6.549
_cell_length_b 6.549
_cell_length_c 6.549
_cell_angle_alpha 149.63
_cell_angle_beta 140.75
_cell_angle_gamma 50.42
loop_
_atom_site_label
_atom_site_type_symbol
_atom_site_fract_x
_atom_site_fract_y
_atom_site_fract_z
_atom_site_occupancy
Fe1 Fe 0.000 0.000 0.000 1
Au1 Au 0.500 0.500 0.000 1
Se1 Se 0.142 0.642 0.500 1
Se2 Se 0.858 0.358 0.500 1


(19)
# FeAu3Se, relaxed, DFT GGA-PBE
# Spin magnetization: 3.5 μB/cell
# D(E_F): 2.13 states/eV/atom
# Crystal system: cubic
# Polymorph energy (0 for the lowest one): 0.00 eV/f.u.
# V: 24.7 Å³ per atom
# SG: No. 221
data_FeAu3Se
_symmetry_space_group_name_H-M 'P 1'
_symmetry_Int_Tables_number 1
_symmetry_space_group_name_Hall 'P 1'
_cell_length_a 4.982
_cell_length_b 4.982
_cell_length_c 4.982
_cell_angle_alpha 90.00
_cell_angle_beta 90.00
_cell_angle_gamma 90.00
loop_
_atom_site_label
_atom_site_type_symbol
_atom_site_fract_x
_atom_site_fract_y
_atom_site_fract_z
_atom_site_occupancy
Fe1 Fe 0.000 0.000 0.000 1
Au1 Au 0.000 0.500 0.500 1
Au2 Au 0.500 0.000 0.500 1
Au3 Au 0.500 0.500 0.000 1
Se1 Se 0.500 0.500 0.500 1


(20)
# FeAu3Se, relaxed, DFT GGA-PBE
# Spin magnetization: 0.0 μB/cell
# D(E_F): 2.50 states/eV/atom
# Crystal system: cubic
# Polymorph energy (0 for the lowest one): 0.50 eV/f.u.
# V: 21.7 Å³ per atom
# SG: No. 221
data_FeAu3Se
_symmetry_space_group_name_H-M 'P 1'
_symmetry_Int_Tables_number 1
_symmetry_space_group_name_Hall 'P 1'
_cell_length_a 4.773
_cell_length_b 4.773
_cell_length_c 4.773
_cell_angle_alpha 90.00
_cell_angle_beta 90.00
_cell_angle_gamma 90.00
loop_
_atom_site_label
_atom_site_type_symbol
_atom_site_fract_x
_atom_site_fract_y
_atom_site_fract_z
_atom_site_occupancy
Fe1 Fe 0.000 0.000 0.000 1
Au1 Au 0.000 0.000 0.500 1
Au2 Au 0.000 0.500 0.000 1
Au3 Au 0.500 0.000 0.000 1
Se1 Se 0.500 0.500 0.500 1